Below is LaCuGePd after structural relaxation, with properties calculated at the GGA-PBE level.

Calculated values
**Relative energy among the computed polymorphs**: 45 kJ/mol of formula units
**Total moment**: 0.02 μB per formula unit
**Total DFT energy (no corrections)**: -19.8 eV/f.u.

a = 4.848 Å, b = 4.848 Å, c = 4.848 Å
α = 60.00°, β = 60.00°, γ = 60.00°
Atoms (fractional coordinates):
La  0.000  0.000  0.000
Cu  0.500  0.500  0.500
Ge  0.750  0.750  0.750
Pd  0.250  0.250  0.250